# Na2ErNi3F12, relaxed, DFT PBE+U
# - symmetry = R-3m
# - magnetization (μB/f.u.) = 4.99
# - final energy (eV/cell) = -83.3
data_Na2ErNi3F12
_chemical_formula_sum 'Na2 Er1 Ni3 F12'
_space_group_name_H-M_alt 'P 1'
_space_group_IT_number 1
_space_group_name_Hall 'P 1'
_cell_length_a 6.779
_cell_length_b 6.779
_cell_length_c 6.779
_cell_angle_alpha 65.10
_cell_angle_beta 65.10
_cell_angle_gamma 65.10
loop_
_atom_site_label
_atom_site_type_symbol
_atom_site_fract_x
_atom_site_fract_y
_atom_site_fract_z
Na1 Na 0.139 0.139 0.139
Na2 Na 0.861 0.861 0.861
Er1 Er 0.500 0.500 0.500
Ni1 Ni 0.000 0.500 0.500
Ni2 Ni 0.500 0.000 0.500
Ni3 Ni 0.500 0.500 0.000
F1 F 0.103 0.635 0.635
F2 F 0.234 0.234 0.609
F3 F 0.234 0.609 0.234
F4 F 0.365 0.365 0.897
F5 F 0.365 0.897 0.365
F6 F 0.391 0.766 0.766
F7 F 0.609 0.234 0.234
F8 F 0.635 0.103 0.635
F9 F 0.635 0.635 0.103
F10 F 0.766 0.391 0.766
F11 F 0.766 0.766 0.391
F12 F 0.897 0.365 0.365